(1)
DFT (PBE) results for a geometry-optimized ZnNi2As structure.

Cell lengths 4.3063, 2.7692, 4.7088 Å; angles 72.57, 90.00, 90.00 degrees
Closest atoms and distances in Å follow each position.
Atoms (fractional coordinates):
As  0.5000  0.9200  0.7893  5 Ni 2.31-2.49
Ni  0.0000  0.8189  0.9785  2 As 2.31, 3 Zn 2.33-2.58
Ni  0.5000  0.1926  0.2358  3 As 2.44-2.49
Zn  0.0000  0.5685  0.4964  3 Ni 2.33-2.58

- formation energy (eV per formula unit) = -0.29

(2)
DFT (PBE) results for a geometry-optimized SrAcTl4O8 structure.

Cell lengths 7.0531, 7.0531, 7.0710 Å; angles 60.08, 60.08, 60.00 degrees
Closest atoms and distances in Å follow each position.
Atoms (fractional coordinates):
Sr  0.9983  0.9983  0.0052  6 O 2.48-2.53
Ac  0.3829  0.3829  0.8513  4 O 2.36-2.49
Tl  0.6215  0.6215  0.1355  4 O 2.30-2.40
Tl  0.0012  0.4989  0.4986  6 O 2.32-2.41
Tl  0.4989  0.0012  0.4986  6 O 2.32-2.41
Tl  0.0012  0.0012  0.4986  6 O 2.32-2.41
O  0.2448  0.7922  0.7182  2 Tl 2.32, 1 Ac 2.36, 1 Sr 2.48
O  0.7922  0.2448  0.7182  2 Tl 2.32, 1 Ac 2.36, 1 Sr 2.48
O  0.2448  0.2448  0.7182  2 Tl 2.32, 1 Ac 2.36, 1 Sr 2.48
O  0.2396  0.2396  0.2813  3 Tl 2.38, 1 Ac 2.49
O  0.7458  0.2229  0.2855  3 Tl 2.30-2.35, 1 Sr 2.53
O  0.2229  0.7458  0.2855  3 Tl 2.30-2.35, 1 Sr 2.53
O  0.7458  0.7458  0.2855  3 Tl 2.30-2.35, 1 Sr 2.53
O  0.7601  0.7601  0.7196  4 Tl 2.40-2.41

- ΔE_f (raw) (kJ per mole of atoms) = -137.53

(3)
DFT (PBE) results for a geometry-optimized Ag2IrBr structure.

Cell lengths 6.7569, 6.7569, 6.7569 Å; angles 154.86, 142.03, 46.08 degrees
Closest atoms and distances in Å follow each position.
Atoms (fractional coordinates):
Ir  0.2500  0.7500  0.5000  4 Br 2.64, 4 Ag 2.87, 2 Ir 2.94
Br  0.7500  0.2500  0.5000  4 Ir 2.64, 2 Br 2.94
Ag  0.0520  0.0520  0.0000  2 Ir 2.87, 6 Ag 2.94
Ag  0.4480  0.4480  0.0000  2 Ir 2.87, 6 Ag 2.94

- ΔE_f (raw) (kJ per mole of atoms) = 58.16

Ordered energy results: -4.444; -5.348; -3.456; unit eV/atom.
Ordered calculated volume results: 54; 249; 80; unit Å³ per cell.